[1]
NaAlS2: optimized geometry, PBE.

Computed properties:
Uncorrected formation energy: -0.965 eV per atom

Cell: 3.8835 3.8835 21.8741 Å, 90.00 90.00 120.00°
Space group R3m (No. 160, hexagonal axes)
One atom of each set of equivalent atoms:
Na 0.0000 0.0000 0.0000 [3 per cell]
Al 0.0000 0.0000 0.4892 [3 per cell]
S 0.0000 0.0000 0.3930 [3 per cell]
S 0.0000 0.0000 0.8673 [3 per cell]

[2]
NaAlS2: optimized geometry, PBE.

Computed properties:
Uncorrected formation energy: -1.212 eV per atom

Cell: 10.2585 10.2645 13.5872 Å, 90.00 100.78 90.00°
Space group C2/c (No. 15)
One atom of each set of equivalent atoms:
Na 0.0300 0.1834 0.3798 [8 per cell]
Na 0.2186 0.4372 0.1227 [8 per cell]
Al 0.0991 0.1902 0.6514 [8 per cell]
Al 0.1477 0.4368 0.8484 [8 per cell]
S 0.0000 0.0589 0.7500 [4 per cell]
S 0.0000 0.4315 0.2500 [4 per cell]
S 0.0503 0.3131 0.9516 [8 per cell]
S 0.1998 0.0621 0.5523 [8 per cell]
S 0.2450 0.1863 0.2504 [8 per cell]

[3]
NaAlS2: optimized geometry, PBE.

Computed properties:
Uncorrected formation energy: -1.189 eV per atom

Cell: 3.6887 7.0017 7.6630 Å, 79.68 76.08 89.94°
Space group P-1 (No. 2)
One atom of each set of equivalent atoms:
Na 0.1679 0.1715 0.1670 [2 per cell]
Al 0.4117 0.3631 0.6761 [2 per cell]
S 0.1711 0.7655 0.1579 [2 per cell]
S 0.4428 0.6911 0.6134 [2 per cell]

[4]
NaAlS2: optimized geometry, PBE.

Computed properties:
Uncorrected formation energy: -1.213 eV per atom

Cell: 6.6205 8.8727 6.4155 Å, 90.00 90.00 90.00°
Space group Pna2_1 (No. 33)
One atom of each set of equivalent atoms:
Na 0.0670 0.1195 0.0000 [4 per cell]
Al 0.0610 0.6259 0.9777 [4 per cell]
S 0.0350 0.5935 0.6273 [4 per cell]
S 0.1088 0.1614 0.5678 [4 per cell]

- Which value of uncorrected formation energy does entry 3 give?
  -1.189 eV per atom